(1)
First-principles (GGA-PBE) data for an optimized crystal structure of SmPaN, as listed in the Alexandria database.

Values from the calculation:
ΔE_f (raw) in meV per atom: -820.3
Distance to the lowest polymorph of the same formula in meV/atom: 0

Cell and atoms, written as POSCAR:
```
SmPaN
1.0
1.717 0.991 12.196
-1.717 0.991 12.196
0.000 -1.983 12.196
Sm Pa N
2 2 2
direct
0.214 0.214 0.214
0.786 0.786 0.786
0.040 0.040 0.040
0.960 0.960 0.960
0.410 0.410 0.410
0.590 0.590 0.590
```

(2)
First-principles (GGA-PBE) data for an optimized crystal structure of GaNiOs, as listed in the Alexandria database.

Values from the calculation:
Calculated formation energy in eV per atom: -0.08

Cell and atoms, written as POSCAR:
```
GaNiOs
1.0
2.762 0.000 0.000
0.000 3.645 0.000
0.000 0.000 8.011
Ga Ni Os
2 2 2
direct
0.000 0.000 0.000
0.000 0.000 0.335
0.500 0.500 0.153
0.500 0.500 0.478
0.000 0.000 0.658
0.500 0.500 0.810
```

(3)
First-principles (GGA-PBE) data for an optimized crystal structure of Ac2La3Tb7, as listed in the Alexandria database.

Values from the calculation:
Calculated formation energy in eV per atom: 0.11

Cell and atoms, written as POSCAR:
```
Ac2La3Tb7
1.0
6.513 0.000 0.000
0.000 3.649 0.000
-2.159 0.000 17.952
Ac La Tb
2 3 7
direct
0.047 0.000 0.175
0.953 0.000 0.825
0.460 0.500 0.839
0.500 0.000 0.500
0.540 0.500 0.161
0.000 0.500 0.500
0.228 0.000 0.662
0.257 0.000 0.003
0.275 0.500 0.340
0.725 0.500 0.660
0.743 0.000 0.997
0.772 0.000 0.338
```

(4)
First-principles (GGA-PBE) data for an optimized crystal structure of AsHBr2F, as listed in the Alexandria database.

Values from the calculation:
Distance to the lowest polymorph of the same formula in meV/atom: 0

Cell and atoms, written as POSCAR:
```
AsHBr2F
1.0
5.011 0.000 0.000
0.000 5.011 0.000
0.000 0.000 3.485
As H Br F
1 1 2 1
direct
0.000 0.000 0.000
0.000 0.000 0.500
0.000 0.500 0.500
0.500 0.000 0.500
0.500 0.500 0.000
```

(5)
First-principles (GGA-PBE) data for an optimized crystal structure of Ac2HoPb9, as listed in the Alexandria database.

Values from the calculation:
Calculated formation energy in eV per atom: -0.36

Cell and atoms, written as POSCAR:
```
Ac2HoPb9
1.0
5.021 0.000 0.000
0.000 5.021 0.000
0.000 0.000 14.876
Ac Ho Pb
2 1 9
direct
0.000 0.000 0.171
0.000 0.000 0.829
0.000 0.000 0.500
0.000 0.500 0.000
0.000 0.500 0.344
0.000 0.500 0.656
0.500 0.000 0.000
0.500 0.000 0.344
0.500 0.000 0.656
0.500 0.500 0.171
0.500 0.500 0.500
0.500 0.500 0.829
```

(6)
First-principles (GGA-PBE) data for an optimized crystal structure of ZrTc5, as listed in the Alexandria database.

Values from the calculation:
Distance to the lowest polymorph of the same formula in meV/atom: 94
Calculated formation energy in eV per atom: 0.12

Cell and atoms, written as POSCAR:
```
ZrTc5
1.0
4.877 0.000 0.000
-2.438 4.223 0.000
0.000 0.000 4.563
Zr Tc
1 5
direct
0.000 0.000 0.000
0.000 0.652 0.500
0.333 0.667 0.000
0.348 0.348 0.500
0.652 0.000 0.500
0.667 0.333 0.000
```

(7)
First-principles (GGA-PBE) data for an optimized crystal structure of TlRuRh, as listed in the Alexandria database.

Values from the calculation:
Distance to the lowest polymorph of the same formula in meV/atom: 248
Calculated formation energy in eV per atom: 0.59

Cell and atoms, written as POSCAR:
```
TlRuRh
1.0
0.000 3.098 3.098
3.098 0.000 3.098
3.098 3.098 0.000
Tl Ru Rh
1 1 1
direct
0.000 0.000 0.000
0.500 0.500 0.500
0.750 0.750 0.750
```

(8)
First-principles (GGA-PBE) data for an optimized crystal structure of Pr4Nd3Dy, as listed in the Alexandria database.

Values from the calculation:
Distance to the lowest polymorph of the same formula in meV/atom: 12
Calculated formation energy in eV per atom: 0.01

Cell and atoms, written as POSCAR:
```
Pr4Nd3Dy
1.0
10.415 0.000 0.000
0.000 7.357 0.000
0.000 0.000 7.352
Pr Nd Dy
8 6 2
direct
0.000 0.000 0.000
0.000 0.500 0.500
0.250 0.248 0.250
0.250 0.752 0.750
0.500 0.000 0.500
0.500 0.500 0.000
0.750 0.248 0.250
0.750 0.752 0.750
0.000 0.500 0.000
0.250 0.248 0.750
0.250 0.752 0.250
0.500 0.500 0.500
0.750 0.248 0.750
0.750 0.752 0.250
0.000 0.000 0.500
0.500 0.000 0.000
```

(9)
First-principles (GGA-PBE) data for an optimized crystal structure of NpPaGa6, as listed in the Alexandria database.

Values from the calculation:
Distance to the lowest polymorph of the same formula in meV/atom: 0
Calculated formation energy in eV per atom: -0.29

Cell and atoms, written as POSCAR:
```
NpPaGa6
1.0
6.069 0.000 0.000
0.000 6.069 0.000
0.000 0.000 4.266
Np Pa Ga
1 1 6
direct
0.000 0.000 0.000
0.500 0.500 0.000
0.000 0.500 0.000
0.248 0.248 0.500
0.248 0.752 0.500
0.500 0.000 0.000
0.752 0.248 0.500
0.752 0.752 0.500
```

(10)
First-principles (GGA-PBE) data for an optimized crystal structure of NpBeNi4, as listed in the Alexandria database.

Values from the calculation:
Calculated formation energy in eV per atom: -0.05

Cell and atoms, written as POSCAR:
```
NpBeNi4
1.0
0.000 3.401 3.401
3.401 0.000 3.401
3.401 3.401 0.000
Np Be Ni
1 1 4
direct
0.000 0.000 0.000
0.750 0.750 0.750
0.376 0.376 0.376
0.376 0.376 0.871
0.376 0.871 0.376
0.871 0.376 0.376
```

(11)
First-principles (GGA-PBE) data for an optimized crystal structure of Rb2PaReO6, as listed in the Alexandria database.

Values from the calculation:
ΔE_f (raw) in meV per atom: -2275.1

Cell and atoms, written as POSCAR:
```
Rb2PaReO6
1.0
5.940 0.000 0.000
0.000 5.940 0.000
0.000 0.000 4.346
Rb Pa Re O
2 1 1 6
direct
0.000 0.500 0.000
0.500 0.000 0.000
0.000 0.000 0.507
0.500 0.500 0.468
0.000 0.000 0.007
0.264 0.264 0.507
0.264 0.736 0.507
0.500 0.500 0.043
0.736 0.264 0.507
0.736 0.736 0.507
```

(12)
First-principles (GGA-PBE) data for an optimized crystal structure of Tb2Nd3Er, as listed in the Alexandria database.

Values from the calculation:
Distance to the lowest polymorph of the same formula in meV/atom: 0
Calculated formation energy in eV per atom: 0.00

Cell and atoms, written as POSCAR:
```
Tb2Nd3Er
1.0
5.444 -3.141 0.000
5.444 3.141 0.000
0.000 0.000 11.645
Tb Nd Er
4 6 2
direct
0.001 0.333 0.250
0.333 0.001 0.750
0.667 0.999 0.250
0.999 0.667 0.750
0.000 0.000 0.000
0.000 0.000 0.500
0.334 0.334 0.000
0.334 0.334 0.500
0.666 0.666 0.000
0.666 0.666 0.500
0.334 0.666 0.250
0.666 0.334 0.750
```